# Mn2CuIr PBE-GGA optimized geometry
# SG   P4/mmm, No. 123
# Calculated formation energy   0.07 eV/atom
data_Mn2CuIr
_space_group_name_H-M_alt 'P 1'
_space_group_IT_number 1
_cell_length_a 3.710
_cell_length_b 3.715
_cell_length_c 3.715
_cell_angle_alpha 90.00
_cell_angle_beta 90.00
_cell_angle_gamma 90.00
loop_
_space_group_symop_operation_xyz
'x,y,z'
loop_
_atom_site_label
_atom_site_type_symbol
_atom_site_fract_x
_atom_site_fract_y
_atom_site_fract_z
Cu1 Cu 0.500 0.500 0.000
Ir1 Ir 0.500 0.000 0.500
Mn1 Mn 0.000 0.000 0.000
Mn2 Mn 0.000 0.500 0.500



# HoPuPd PBE-GGA optimized geometry
# ΔE to the lowest computed polymorph   0.000 eV per formula unit
# SG   I4mm, No. 107
# Calculated formation energy   -0.35 eV/atom
data_HoPuPd
_space_group_name_H-M_alt 'P 1'
_space_group_IT_number 1
_cell_length_a 3.511
_cell_length_b 3.511
_cell_length_c 6.492
_cell_angle_alpha 105.69
_cell_angle_beta 105.69
_cell_angle_gamma 90.00
loop_
_space_group_symop_operation_xyz
'x,y,z'
loop_
_atom_site_label
_atom_site_type_symbol
_atom_site_fract_x
_atom_site_fract_y
_atom_site_fract_z
Ho1 Ho 0.305 0.305 0.610
Pd1 Pd 0.676 0.676 0.351
Pu1 Pu 0.020 0.020 0.039



no.,total energy (eV per cell)
1,-31.028
2,-25.159